Material: Er3Co4Ge13
Method: DFT, PBE-GGA
State: optimized geometry

- total moment (μB per atom) = 0.0000
- energy of formation from the pure elements (eV per formula unit) = -8.2
- total energy (eV per atom) = -5.52
- space group = Pm-3n

a = 8.763 Å, b = 8.763 Å, c = 8.763 Å
α = 90.00°, β = 90.00°, γ = 90.00°
Sites, in units of the cell vectors:
Er: 0.000 0.500 0.750
Er: 0.500 0.250 0.000
Er: 0.750 0.000 0.500
Er: 0.000 0.500 0.250
Er: 0.500 0.750 0.000
Er: 0.250 0.000 0.500
Co: 0.750 0.250 0.750
Co: 0.250 0.750 0.250
Co: 0.750 0.750 0.250
Co: 0.250 0.250 0.750
Co: 0.250 0.750 0.750
Co: 0.750 0.250 0.250
Co: 0.250 0.250 0.250
Co: 0.750 0.750 0.750
Ge: 0.500 0.500 0.500
Ge: 0.000 0.000 0.000
Ge: 0.804 0.347 0.500
Ge: 0.653 0.500 0.804
Ge: 0.500 0.196 0.653
Ge: 0.196 0.653 0.500
Ge: 0.347 0.500 0.196
Ge: 0.500 0.804 0.347
Ge: 0.804 0.653 0.500
Ge: 0.653 0.500 0.196
Ge: 0.196 0.347 0.500
Ge: 0.347 0.500 0.804
Ge: 0.500 0.804 0.653
Ge: 0.500 0.196 0.347
Ge: 0.304 0.000 0.847
Ge: 0.153 0.304 0.000
Ge: 0.000 0.153 0.696
Ge: 0.696 0.000 0.153
Ge: 0.847 0.696 0.000
Ge: 0.000 0.847 0.304
Ge: 0.304 0.000 0.153
Ge: 0.153 0.696 0.000
Ge: 0.696 0.000 0.847
Ge: 0.847 0.304 0.000
Ge: 0.000 0.153 0.304
Ge: 0.000 0.847 0.696

Material: Er3Co2Ge2
Method: DFT, PBE-GGA
State: optimized geometry

- total moment (μB per atom) = 0.0000
- energy of formation from the pure elements (eV per formula unit) = -4.5
- total energy (eV per atom) = -5.94
- space group = Pbcm

a = 5.495 Å, b = 7.641 Å, c = 12.659 Å
α = 90.00°, β = 90.00°, γ = 90.00°
Sites, in units of the cell vectors:
Er: 0.146 0.602 0.100
Er: 0.854 0.398 0.600
Er: 0.854 0.102 0.400
Er: 0.146 0.898 0.900
Er: 0.854 0.398 0.900
Er: 0.146 0.602 0.400
Er: 0.146 0.898 0.600
Er: 0.854 0.102 0.100
Er: 0.372 0.243 0.250
Er: 0.628 0.757 0.750
Er: 0.628 0.743 0.250
Er: 0.372 0.257 0.750
Co: 0.631 0.466 0.088
Co: 0.369 0.534 0.588
Co: 0.369 0.966 0.412
Co: 0.631 0.034 0.912
Co: 0.369 0.534 0.912
Co: 0.631 0.466 0.412
Co: 0.631 0.034 0.588
Co: 0.369 0.966 0.088
Ge: 0.366 0.250 0.000
Ge: 0.634 0.750 0.500
Ge: 0.634 0.750 0.000
Ge: 0.366 0.250 0.500
Ge: 0.858 0.394 0.250
Ge: 0.142 0.606 0.750
Ge: 0.142 0.894 0.250
Ge: 0.858 0.106 0.750

Material: Er3Co2Ge3
Method: DFT, PBE-GGA
State: optimized geometry

- total moment (μB per atom) = 0.0000
- energy of formation from the pure elements (eV per formula unit) = -5.7
- total energy (eV per atom) = -5.94
- distance to the lowest polymorph of the same formula (meV per atom) = 18
- space group = Pnma

a = 5.566 Å, b = 7.798 Å, c = 13.832 Å
α = 90.00°, β = 90.00°, γ = 90.00°
Sites, in units of the cell vectors:
Er: 0.125 0.459 0.389
Er: 0.625 0.041 0.611
Er: 0.875 0.541 0.889
Er: 0.375 0.959 0.111
Er: 0.875 0.541 0.611
Er: 0.375 0.959 0.389
Er: 0.125 0.459 0.111
Er: 0.625 0.041 0.889
Er: 0.633 0.315 0.250
Er: 0.133 0.185 0.750
Er: 0.367 0.685 0.750
Er: 0.867 0.815 0.250
Co: 0.889 0.085 0.407
Co: 0.389 0.415 0.593
Co: 0.111 0.915 0.907
Co: 0.611 0.585 0.093
Co: 0.111 0.915 0.593
Co: 0.611 0.585 0.407
Co: 0.889 0.085 0.093
Co: 0.389 0.415 0.907
Ge: 0.103 0.164 0.250
Ge: 0.603 0.336 0.750
Ge: 0.897 0.836 0.750
Ge: 0.397 0.664 0.250
Ge: 0.631 0.304 0.460
Ge: 0.131 0.196 0.540
Ge: 0.369 0.696 0.960
Ge: 0.869 0.804 0.040
Ge: 0.369 0.696 0.540
Ge: 0.869 0.804 0.460
Ge: 0.631 0.304 0.040
Ge: 0.131 0.196 0.960

Material: ErCoGeH
Method: DFT, PBE-GGA
State: optimized geometry

- total moment (μB per atom) = 0.0000
- total energy (eV per atom) = -5.59
- space group = P4/nmm

a = 3.885 Å, b = 3.885 Å, c = 7.235 Å
α = 90.00°, β = 90.00°, γ = 90.00°
Sites, in units of the cell vectors:
Er: 0.500 0.000 0.661
Er: 0.000 0.500 0.339
Co: 0.500 0.500 0.000
Co: 0.000 0.000 0.000
Ge: 0.000 0.500 0.819
Ge: 0.500 0.000 0.181
H: 0.000 0.000 0.500
H: 0.500 0.500 0.500

Material: Er2CoGe3Ir4
Method: DFT, PBE-GGA
State: optimized geometry

- total moment (μB per atom) = 0.1311
- energy of formation from the pure elements (eV per formula unit) = -6.6
- total energy (eV per atom) = -7.21
- space group = P-4m2

a = 4.120 Å, b = 4.120 Å, c = 10.326 Å
α = 90.00°, β = 90.00°, γ = 90.00°
Site moments in Bohr magnetons follow the coordinates.
Sites, in units of the cell vectors:
Er: 0.500 0.000 0.251  -0.04
Er: 0.000 0.500 0.749  -0.04
Co: 0.500 0.500 0.500  1.40
Ge: 0.000 0.000 0.500  -0.01
Ge: 0.500 0.000 0.866  -0.01
Ge: 0.000 0.500 0.134  -0.01
Ir: 0.500 0.500 0.000  -0.02
Ir: 0.000 0.000 0.000  -0.03
Ir: 0.500 0.000 0.632  0.07
Ir: 0.000 0.500 0.368  0.07

Material: LiErCoGe
Method: DFT, PBE-GGA
State: optimized geometry

- total moment (μB per atom) = 0.1849
- energy of formation from the pure elements (eV per formula unit) = -1.5
- total energy (eV per atom) = -4.92
- space group = F-43m

a = 4.427 Å, b = 4.427 Å, c = 4.427 Å
α = 60.00°, β = 60.00°, γ = 60.00°
Site moments in Bohr magnetons follow the coordinates.
Sites, in units of the cell vectors:
Ge: 0.250 0.250 0.250  0.04
Li: 0.000 0.000 0.000  -0.01
Co: 0.500 0.500 0.500  0.60
Er: 0.750 0.750 0.750  0.07

Material: LiErCoGe2
Method: DFT, PBE-GGA
State: optimized geometry

- total moment (μB per atom) = 0.1123
- energy of formation from the pure elements (eV per formula unit) = -2.6
- total energy (eV per atom) = -5.08
- space group = I-4m2

a = 4.010 Å, b = 4.010 Å, c = 5.845 Å
α = 110.06°, β = 110.06°, γ = 90.00°
Site moments in Bohr magnetons follow the coordinates.
Sites, in units of the cell vectors:
Li: 0.750 0.250 0.500  0.00
Er: 0.000 0.000 0.000  0.05
Co: 0.250 0.750 0.500  0.46
Ge: 0.624 0.624 0.247  0.01
Ge: 0.376 0.376 0.753  0.01

Material: ErMnCoGe3
Method: DFT, PBE-GGA
State: optimized geometry

- total moment (μB per atom) = 0.0606
- energy of formation from the pure elements (eV per formula unit) = -0.9
- total energy (eV per atom) = -5.94
- space group = Cmcm

a = 7.086 Å, b = 5.629 Å, c = 6.086 Å
α = 117.54°, β = 90.00°, γ = 90.00°
Site moments in Bohr magnetons follow the coordinates.
Sites, in units of the cell vectors:
Er: 0.750 0.236 0.472  -0.01
Er: 0.250 0.764 0.528  -0.01
Mn: 0.250 0.090 0.180  0.32
Mn: 0.750 0.910 0.820  0.32
Co: 0.250 0.501 0.002  0.09
Co: 0.750 0.499 0.998  0.09
Ge: 0.250 0.294 0.587  -0.01
Ge: 0.000 0.232 0.000  -0.01
Ge: 0.500 0.768 0.000  -0.01
Ge: 0.500 0.232 0.000  -0.01
Ge: 0.000 0.768 0.000  -0.01
Ge: 0.750 0.706 0.413  -0.01

Material: ErCo2GeN
Method: DFT, PBE-GGA
State: optimized geometry

- total moment (μB per atom) = 0.2102
- total energy (eV per atom) = -7.07
- formation energy from raw total energies (eV per atom) = -0.723
- space group = Cmcm

a = 3.519 Å, b = 5.806 Å, c = 6.846 Å
α = 90.00°, β = 90.00°, γ = 107.64°
Site moments in Bohr magnetons follow the coordinates.
Sites, in units of the cell vectors:
Er: 0.463 0.926 0.750  0.01
Er: 0.537 0.074 0.250  0.01
Co: 0.159 0.319 0.950  0.49
Co: 0.841 0.681 0.050  0.49
Co: 0.159 0.319 0.550  0.49
Co: 0.841 0.681 0.450  0.49
Ge: 0.734 0.469 0.750  -0.03
Ge: 0.266 0.531 0.250  -0.03
N: 0.000 0.000 0.000  0.09
N: 0.000 0.000 0.500  0.09

Material: NdErCo2Ge2
Method: DFT, PBE-GGA
State: optimized geometry

- total moment (μB per atom) = 0.0000
- energy of formation from the pure elements (eV per formula unit) = -3.5
- total energy (eV per atom) = -6.04
- space group = P-3m1

a = 4.216 Å, b = 4.216 Å, c = 7.272 Å
α = 90.00°, β = 90.00°, γ = 120.00°
Sites, in units of the cell vectors:
Nd: 0.000 0.000 0.000
Er: 0.000 0.000 0.500
Co: 0.333 0.667 0.715
Co: 0.667 0.333 0.285
Ge: 0.333 0.667 0.272
Ge: 0.667 0.333 0.728

Material: ErCoNiGe2
Method: DFT, PBE-GGA
State: optimized geometry

- total moment (μB per atom) = 0.2222
- energy of formation from the pure elements (eV per formula unit) = -3.1
- total energy (eV per atom) = -5.97
- space group = I-4m2

a = 3.995 Å, b = 3.995 Å, c = 5.737 Å
α = 110.38°, β = 110.38°, γ = 90.00°
Site moments in Bohr magnetons follow the coordinates.
Sites, in units of the cell vectors:
Er: 0.000 0.000 0.000  0.04
Co: 0.750 0.250 0.500  0.81
Ni: 0.250 0.750 0.500  0.26
Ge: 0.626 0.626 0.253  0.00
Ge: 0.374 0.374 0.747  0.00

Material: Er2CoNi3Ge4
Method: DFT, PBE-GGA
State: optimized geometry

- total moment (μB per atom) = 0.0857
- energy of formation from the pure elements (eV per formula unit) = -6.5
- total energy (eV per atom) = -5.86
- space group = P-4m2

a = 4.033 Å, b = 4.033 Å, c = 9.755 Å
α = 90.00°, β = 90.00°, γ = 90.00°
Site moments in Bohr magnetons follow the coordinates.
Sites, in units of the cell vectors:
Er: 0.500 0.000 0.252  0.00
Er: 0.000 0.500 0.748  0.00
Co: 0.500 0.500 0.500  0.72
Ni: 0.000 0.000 0.500  0.20
Ni: 0.500 0.000 0.869  -0.02
Ni: 0.000 0.500 0.131  -0.02
Ge: 0.500 0.500 0.000  -0.01
Ge: 0.000 0.000 0.000  0.00
Ge: 0.500 0.000 0.630  0.00
Ge: 0.000 0.500 0.370  0.00

Question: Which of these has the highest total energy?
Answer: LiErCoGe